Record 1
# BaCoO2 PBE with a Hubbard U optimized geometry
data_BaCoO2
_cell_length_a 6.578
_cell_length_b 6.578
_cell_length_c 6.578
_cell_angle_alpha 36.63
_cell_angle_beta 36.63
_cell_angle_gamma 36.63
_space_group_name_H-M_alt 'P 1'
_space_group_IT_number 1
_space_group_name_Hall 'P 1'
loop_
_atom_site_label
_atom_site_type_symbol
_atom_site_fract_x
_atom_site_fract_y
_atom_site_fract_z
Co1 Co 0.000 0.000 0.000
Ba1 Ba 0.500 0.500 0.500
O1 O 0.905 0.905 0.905
O2 O 0.095 0.095 0.095
# DOS at the Fermi energy	5.17	states/eV/cell
# electronic total energy	-0.429	Ry per atom



Record 2
# BaCo2OsO8 PBE with a Hubbard U optimized geometry
data_BaCo2OsO8
_cell_length_a 4.581
_cell_length_b 4.725
_cell_length_c 7.531
_cell_angle_alpha 95.23
_cell_angle_beta 89.60
_cell_angle_gamma 89.98
_space_group_name_H-M_alt 'P 1'
_space_group_IT_number 1
_space_group_name_Hall 'P 1'
loop_
_atom_site_label
_atom_site_type_symbol
_atom_site_fract_x
_atom_site_fract_y
_atom_site_fract_z
Ba1 Ba 0.000 0.000 0.500
Co1 Co 0.494 0.491 0.811
Co2 Co 0.506 0.509 0.189
Os1 Os 0.000 0.000 0.000
O1 O 0.215 0.832 0.173
O2 O 0.724 0.705 0.001
O3 O 0.799 0.209 0.191
O4 O 0.785 0.168 0.827
O5 O 0.276 0.295 0.999
O6 O 0.201 0.791 0.809
O7 O 0.476 0.617 0.443
O8 O 0.524 0.383 0.557
# DOS at the Fermi energy	2.05	states/eV/cell
# electronic total energy	-0.472	Ry per atom



Record 3
# BaCoOs2O8 PBE with a Hubbard U optimized geometry
data_BaCoOs2O8
_cell_length_a 5.609
_cell_length_b 5.609
_cell_length_c 7.443
_cell_angle_alpha 90.00
_cell_angle_beta 90.00
_cell_angle_gamma 120.00
_space_group_name_H-M_alt 'P 1'
_space_group_IT_number 1
_space_group_name_Hall 'P 1'
loop_
_atom_site_label
_atom_site_type_symbol
_atom_site_fract_x
_atom_site_fract_y
_atom_site_fract_z
Ba1 Ba 0.000 0.000 0.000
Co1 Co 0.000 0.000 0.500
Os1 Os 0.667 0.333 0.272
Os2 Os 0.333 0.667 0.728
O1 O 0.333 0.667 0.972
O2 O 0.315 0.243 0.324
O3 O 0.757 0.072 0.324
O4 O 0.667 0.333 0.028
O5 O 0.243 0.928 0.676
O6 O 0.685 0.757 0.676
O7 O 0.072 0.315 0.676
O8 O 0.928 0.685 0.324
# DOS at the Fermi energy	3.31	states/eV/cell
# electronic total energy	-0.512	Ry per atom



Record 4
# Ba2CoOs3O12 PBE with a Hubbard U optimized geometry
data_Ba2CoOs3O12
_cell_length_a 6.942
_cell_length_b 6.942
_cell_length_c 6.942
_cell_angle_alpha 62.94
_cell_angle_beta 62.94
_cell_angle_gamma 62.94
_space_group_name_H-M_alt 'P 1'
_space_group_IT_number 1
_space_group_name_Hall 'P 1'
loop_
_atom_site_label
_atom_site_type_symbol
_atom_site_fract_x
_atom_site_fract_y
_atom_site_fract_z
Ba1 Ba 0.646 0.646 0.646
Ba2 Ba 0.354 0.354 0.354
Co1 Co 0.000 0.000 0.000
Os1 Os 0.500 0.000 0.000
Os2 Os 0.000 0.500 0.000
Os3 Os 0.000 0.000 0.500
O1 O 0.328 0.328 0.934
O2 O 0.929 0.929 0.316
O3 O 0.316 0.929 0.929
O4 O 0.934 0.328 0.328
O5 O 0.929 0.316 0.929
O6 O 0.328 0.934 0.328
O7 O 0.672 0.672 0.066
O8 O 0.071 0.071 0.684
O9 O 0.684 0.071 0.071
O10 O 0.066 0.672 0.672
O11 O 0.071 0.684 0.071
O12 O 0.672 0.066 0.672
# DOS at the Fermi energy	8.15	states/eV/cell
# electronic total energy	-0.519	Ry per atom



Record 5
# BaCoP2O PBE with a Hubbard U optimized geometry
data_BaCoP2O
_cell_length_a 4.060
_cell_length_b 4.060
_cell_length_c 6.546
_cell_angle_alpha 90.00
_cell_angle_beta 90.00
_cell_angle_gamma 90.00
_space_group_name_H-M_alt 'P 1'
_space_group_IT_number 1
_space_group_name_Hall 'P 1'
loop_
_atom_site_label
_atom_site_type_symbol
_atom_site_fract_x
_atom_site_fract_y
_atom_site_fract_z
P1 P 0.000 0.500 0.000
P2 P 0.500 0.000 0.000
Co1 Co 0.000 0.000 0.000
Ba1 Ba 0.500 0.500 0.500
O1 O 0.000 0.000 0.500
# DOS at the Fermi energy	5.44	states/eV/cell
# energy above the most stable polymorph in this dataset	0.0000	eV/atom



Record 6
# Ba2CoP2O8 PBE with a Hubbard U optimized geometry
data_Ba2CoP2O8
_cell_length_a 5.388
_cell_length_b 9.007
_cell_length_c 16.324
_cell_angle_alpha 90.00
_cell_angle_beta 90.91
_cell_angle_gamma 90.00
_space_group_name_H-M_alt 'P 1'
_space_group_IT_number 1
_space_group_name_Hall 'P 1'
loop_
_atom_site_label
_atom_site_type_symbol
_atom_site_fract_x
_atom_site_fract_y
_atom_site_fract_z
Ba1 Ba 0.705 0.297 0.019
Ba2 Ba 0.795 0.797 0.481
Ba3 Ba 0.295 0.703 0.981
Ba4 Ba 0.205 0.203 0.519
Ba5 Ba 0.254 0.843 0.730
Ba6 Ba 0.246 0.343 0.770
Ba7 Ba 0.746 0.157 0.270
Ba8 Ba 0.754 0.657 0.230
Co1 Co 0.730 0.484 0.635
Co2 Co 0.770 0.984 0.865
Co3 Co 0.230 0.016 0.135
Co4 Co 0.270 0.516 0.365
P1 P 0.751 0.609 0.834
P2 P 0.749 0.109 0.666
P3 P 0.249 0.391 0.166
P4 P 0.251 0.891 0.334
P5 P 0.263 0.591 0.577
P6 P 0.763 0.909 0.077
P7 P 0.737 0.409 0.423
P8 P 0.237 0.091 0.923
O1 O 0.648 0.525 0.756
O2 O 0.852 0.025 0.744
O3 O 0.352 0.475 0.244
O4 O 0.148 0.975 0.256
O5 O 0.040 0.611 0.834
O6 O 0.460 0.111 0.666
O7 O 0.960 0.389 0.166
O8 O 0.540 0.889 0.334
O9 O 0.643 0.771 0.830
O10 O 0.857 0.271 0.670
O11 O 0.357 0.229 0.170
O12 O 0.143 0.729 0.330
O13 O 0.652 0.530 0.911
O14 O 0.848 0.030 0.589
O15 O 0.348 0.470 0.089
O16 O 0.152 0.970 0.411
O17 O 0.023 0.634 0.625
O18 O 0.477 0.134 0.875
O19 O 0.977 0.366 0.375
O20 O 0.523 0.866 0.125
O21 O 0.705 0.904 0.985
O22 O 0.795 0.404 0.515
O23 O 0.295 0.096 0.015
O24 O 0.205 0.596 0.485
O25 O 0.972 0.797 0.100
O26 O 0.528 0.297 0.400
O27 O 0.353 0.436 0.608
O28 O 0.472 0.703 0.600
O29 O 0.853 0.064 0.108
O30 O 0.647 0.564 0.392
O31 O 0.147 0.936 0.892
O32 O 0.028 0.203 0.900
# DOS at the Fermi energy	0.00	states/eV/cell
# electronic total energy	-0.521	Ry per atom



Record 7
# BaCo2P2O8 PBE with a Hubbard U optimized geometry
data_BaCo2P2O8
_cell_length_a 5.059
_cell_length_b 8.249
_cell_length_c 9.322
_cell_angle_alpha 92.54
_cell_angle_beta 90.00
_cell_angle_gamma 90.00
_space_group_name_H-M_alt 'P 1'
_space_group_IT_number 1
_space_group_name_Hall 'P 1'
loop_
_atom_site_label
_atom_site_type_symbol
_atom_site_fract_x
_atom_site_fract_y
_atom_site_fract_z
Ba1 Ba 0.500 0.000 0.500
Ba2 Ba 0.000 0.000 0.000
Co1 Co 0.065 0.350 0.708
Co2 Co 0.935 0.650 0.292
Co3 Co 0.565 0.650 0.792
Co4 Co 0.435 0.350 0.208
P1 P 0.496 0.735 0.135
P2 P 0.996 0.265 0.365
P3 P 0.504 0.265 0.865
P4 P 0.004 0.735 0.635
O1 O 0.854 0.859 0.734
O2 O 0.354 0.141 0.766
O3 O 0.146 0.141 0.266
O4 O 0.646 0.859 0.234
O5 O 0.557 0.775 0.977
O6 O 0.057 0.225 0.523
O7 O 0.443 0.225 0.023
O8 O 0.943 0.775 0.477
O9 O 0.613 0.565 0.174
O10 O 0.113 0.435 0.326
O11 O 0.387 0.435 0.826
O12 O 0.887 0.565 0.674
O13 O 0.308 0.740 0.654
O14 O 0.808 0.260 0.846
O15 O 0.692 0.260 0.346
O16 O 0.192 0.740 0.154
# DOS at the Fermi energy	0.00	states/eV/cell
# energy above the most stable polymorph in this dataset	0.0000	eV/atom



Record 8
# BaCoP2O PBE with a Hubbard U optimized geometry
data_BaCoP2O
_cell_length_a 5.882
_cell_length_b 5.882
_cell_length_c 4.395
_cell_angle_alpha 90.00
_cell_angle_beta 90.00
_cell_angle_gamma 90.00
_space_group_name_H-M_alt 'P 1'
_space_group_IT_number 1
_space_group_name_Hall 'P 1'
loop_
_atom_site_label
_atom_site_type_symbol
_atom_site_fract_x
_atom_site_fract_y
_atom_site_fract_z
P1 P 0.000 0.500 0.000
P2 P 0.500 0.000 0.000
Co1 Co 0.500 0.500 0.500
Ba1 Ba 0.000 0.000 0.000
O1 O 0.000 0.000 0.500
# DOS at the Fermi energy	5.05	states/eV/cell
# energy above the most stable polymorph in this dataset	1.5516	eV/atom



Record 9
# BaCoP2O7 PBE with a Hubbard U optimized geometry
data_BaCoP2O7
_cell_length_a 5.375
_cell_length_b 7.578
_cell_length_c 7.683
_cell_angle_alpha 102.88
_cell_angle_beta 92.32
_cell_angle_gamma 94.20
_space_group_name_H-M_alt 'P 1'
_space_group_IT_number 1
_space_group_name_Hall 'P 1'
loop_
_atom_site_label
_atom_site_type_symbol
_atom_site_fract_x
_atom_site_fract_y
_atom_site_fract_z
Ba1 Ba 0.200 0.780 0.935
Ba2 Ba 0.800 0.220 0.065
Co1 Co 0.807 0.387 0.602
Co2 Co 0.193 0.613 0.398
P1 P 0.304 0.268 0.782
P2 P 0.696 0.732 0.218
P3 P 0.292 0.196 0.397
P4 P 0.708 0.804 0.603
O1 O 0.208 0.035 0.248
O2 O 0.081 0.388 0.797
O3 O 0.703 0.849 0.081
O4 O 0.557 0.380 0.794
O5 O 0.436 0.725 0.607
O6 O 0.564 0.275 0.393
O7 O 0.270 0.131 0.585
O8 O 0.108 0.349 0.409
O9 O 0.792 0.965 0.752
O10 O 0.443 0.620 0.206
O11 O 0.892 0.651 0.591
O12 O 0.297 0.151 0.919
O13 O 0.730 0.869 0.415
O14 O 0.919 0.612 0.203
# DOS at the Fermi energy	0.00	states/eV/cell
# electronic total energy	-0.522	Ry per atom



Record 10
# BaCo2P2O8 PBE with a Hubbard U optimized geometry
data_BaCo2P2O8
_cell_length_a 4.889
_cell_length_b 4.889
_cell_length_c 8.445
_cell_angle_alpha 89.99
_cell_angle_beta 106.81
_cell_angle_gamma 120.00
_space_group_name_H-M_alt 'P 1'
_space_group_IT_number 1
_space_group_name_Hall 'P 1'
loop_
_atom_site_label
_atom_site_type_symbol
_atom_site_fract_x
_atom_site_fract_y
_atom_site_fract_z
Ba1 Ba 0.000 0.000 0.000
Co1 Co 0.339 0.170 0.509
Co2 Co 0.661 0.830 0.491
P1 P 0.146 0.573 0.719
P2 P 0.854 0.427 0.281
O1 O 0.906 0.149 0.344
O2 O 0.274 0.637 0.911
O3 O 0.726 0.363 0.089
O4 O 0.587 0.438 0.344
O5 O 0.094 0.851 0.656
O6 O 0.804 0.242 0.656
O7 O 0.196 0.758 0.344
O8 O 0.413 0.562 0.656
# DOS at the Fermi energy	0.00	states/eV/cell
# energy above the most stable polymorph in this dataset	0.0127	eV/atom



Record 11
# BaCo2P2O8 PBE with a Hubbard U optimized geometry
data_BaCo2P2O8
_cell_length_a 5.390
_cell_length_b 5.390
_cell_length_c 8.201
_cell_angle_alpha 90.00
_cell_angle_beta 90.00
_cell_angle_gamma 120.00
_space_group_name_H-M_alt 'P 1'
_space_group_IT_number 1
_space_group_name_Hall 'P 1'
loop_
_atom_site_label
_atom_site_type_symbol
_atom_site_fract_x
_atom_site_fract_y
_atom_site_fract_z
Ba1 Ba 0.000 0.000 0.000
Co1 Co 0.333 0.667 0.691
Co2 Co 0.667 0.333 0.309
P1 P 0.333 0.667 0.273
P2 P 0.667 0.333 0.727
O1 O 0.570 0.962 0.204
O2 O 0.038 0.608 0.204
O3 O 0.392 0.430 0.204
O4 O 0.430 0.038 0.796
O5 O 0.962 0.392 0.796
O6 O 0.608 0.570 0.796
O7 O 0.333 0.667 0.458
O8 O 0.667 0.333 0.542
# DOS at the Fermi energy	0.00	states/eV/cell
# energy above the most stable polymorph in this dataset	0.0002	eV/atom



Record 12
# BaPaCo2O6 PBE with a Hubbard U optimized geometry
data_BaPaCo2O6
_cell_length_a 5.776
_cell_length_b 5.776
_cell_length_c 6.772
_cell_angle_alpha 64.76
_cell_angle_beta 64.76
_cell_angle_gamma 60.00
_space_group_name_H-M_alt 'P 1'
_space_group_IT_number 1
_space_group_name_Hall 'P 1'
loop_
_atom_site_label
_atom_site_type_symbol
_atom_site_fract_x
_atom_site_fract_y
_atom_site_fract_z
Ba1 Ba 0.000 0.000 0.000
Pa1 Pa 0.500 0.500 0.500
Co1 Co 0.766 0.766 0.703
Co2 Co 0.234 0.234 0.297
O1 O 0.098 0.473 0.715
O2 O 0.714 0.098 0.715
O3 O 0.527 0.286 0.285
O4 O 0.902 0.527 0.285
O5 O 0.286 0.902 0.285
O6 O 0.473 0.714 0.715
# DOS at the Fermi energy	5.67	states/eV/cell
# electronic total energy	-0.537	Ry per atom



Record 13
# BaPa2CoO8 PBE with a Hubbard U optimized geometry
data_BaPa2CoO8
_cell_length_a 5.151
_cell_length_b 5.151
_cell_length_c 7.286
_cell_angle_alpha 90.00
_cell_angle_beta 90.00
_cell_angle_gamma 120.00
_space_group_name_H-M_alt 'P 1'
_space_group_IT_number 1
_space_group_name_Hall 'P 1'
loop_
_atom_site_label
_atom_site_type_symbol
_atom_site_fract_x
_atom_site_fract_y
_atom_site_fract_z
Ba1 Ba 0.000 0.000 0.500
Pa1 Pa 0.667 0.333 0.129
Pa2 Pa 0.333 0.667 0.871
Co1 Co 0.000 0.000 0.000
O1 O 0.830 0.659 0.858
O2 O 0.341 0.170 0.858
O3 O 0.830 0.170 0.858
O4 O 0.170 0.341 0.142
O5 O 0.659 0.830 0.142
O6 O 0.170 0.830 0.142
O7 O 0.667 0.333 0.394
O8 O 0.333 0.667 0.606
# electronic total energy	-0.594	Ry per atom



Record 14
# BaPaCo2O8 PBE with a Hubbard U optimized geometry
data_BaPaCo2O8
_cell_length_a 6.198
_cell_length_b 6.198
_cell_length_c 6.198
_cell_angle_alpha 106.42
_cell_angle_beta 106.42
_cell_angle_gamma 115.77
_space_group_name_H-M_alt 'P 1'
_space_group_IT_number 1
_space_group_name_Hall 'P 1'
loop_
_atom_site_label
_atom_site_type_symbol
_atom_site_fract_x
_atom_site_fract_y
_atom_site_fract_z
Ba1 Ba 0.000 0.000 0.000
Pa1 Pa 0.250 0.750 0.500
Co1 Co 0.750 0.250 0.500
Co2 Co 0.500 0.500 0.000
O1 O 0.404 0.062 0.341
O2 O 0.342 0.545 0.203
O3 O 0.342 0.139 0.797
O4 O 0.721 0.062 0.659
O5 O 0.861 0.658 0.203
O6 O 0.938 0.279 0.341
O7 O 0.938 0.596 0.659
O8 O 0.455 0.658 0.797
# DOS at the Fermi energy	0.38	states/eV/cell
# electronic total energy	-0.504	Ry per atom



Record 15
# BaPaCoO6 PBE with a Hubbard U optimized geometry
data_BaPaCoO6
_cell_length_a 4.828
_cell_length_b 5.581
_cell_length_c 5.581
_cell_angle_alpha 120.00
_cell_angle_beta 90.00
_cell_angle_gamma 90.00
_space_group_name_H-M_alt 'P 1'
_space_group_IT_number 1
_space_group_name_Hall 'P 1'
loop_
_atom_site_label
_atom_site_type_symbol
_atom_site_fract_x
_atom_site_fract_y
_atom_site_fract_z
Ba1 Ba 0.500 0.667 0.333
Pa1 Pa 0.000 0.333 0.667
Co1 Co 0.500 0.000 0.000
O1 O 0.740 0.692 0.765
O2 O 0.740 0.235 0.927
O3 O 0.740 0.073 0.308
O4 O 0.260 0.235 0.308
O5 O 0.260 0.692 0.927
O6 O 0.260 0.073 0.765
# DOS at the Fermi energy	3.75	states/eV/cell
# electronic total energy	-0.519	Ry per atom



Record 16
# Ba3PaCo2O9 PBE with a Hubbard U optimized geometry
data_Ba3PaCo2O9
_cell_length_a 5.857
_cell_length_b 5.857
_cell_length_c 7.208
_cell_angle_alpha 90.00
_cell_angle_beta 90.00
_cell_angle_gamma 120.00
_space_group_name_H-M_alt 'P 1'
_space_group_IT_number 1
_space_group_name_Hall 'P 1'
loop_
_atom_site_label
_atom_site_type_symbol
_atom_site_fract_x
_atom_site_fract_y
_atom_site_fract_z
Ba1 Ba 0.333 0.667 0.691
Ba2 Ba 0.000 0.000 0.000
Ba3 Ba 0.667 0.333 0.309
Pa1 Pa 0.000 0.000 0.500
Co1 Co 0.333 0.667 0.156
Co2 Co 0.667 0.333 0.844
O1 O 0.828 0.172 0.678
O2 O 0.828 0.656 0.678
O3 O 0.344 0.172 0.678
O4 O 0.656 0.828 0.322
O5 O 0.172 0.344 0.322
O6 O 0.172 0.828 0.322
O7 O 0.500 0.000 0.000
O8 O 0.000 0.500 0.000
O9 O 0.500 0.500 0.000
# DOS at the Fermi energy	2.22	states/eV/cell
# electronic total energy	-0.510	Ry per atom



Record 17
# BaPaCoO5 PBE with a Hubbard U optimized geometry
data_BaPaCoO5
_cell_length_a 6.211
_cell_length_b 6.211
_cell_length_c 8.053
_cell_angle_alpha 102.94
_cell_angle_beta 102.94
_cell_angle_gamma 108.04
_space_group_name_H-M_alt 'P 1'
_space_group_IT_number 1
_space_group_name_Hall 'P 1'
loop_
_atom_site_label
_atom_site_type_symbol
_atom_site_fract_x
_atom_site_fract_y
_atom_site_fract_z
Ba1 Ba 0.335 0.665 0.250
Ba2 Ba 0.665 0.335 0.750
Pa1 Pa 0.000 0.000 0.500
Pa2 Pa 0.000 0.000 0.000
Co1 Co 0.684 0.316 0.250
Co2 Co 0.316 0.684 0.750
O1 O 0.073 0.927 0.250
O2 O 0.927 0.073 0.750
O3 O 0.886 0.290 0.108
O4 O 0.114 0.710 0.892
O5 O 0.710 0.114 0.392
O6 O 0.290 0.886 0.608
O7 O 0.749 0.624 0.402
O8 O 0.251 0.376 0.598
O9 O 0.376 0.251 0.098
O10 O 0.624 0.749 0.902
# electronic total energy	-0.572	Ry per atom



Record 18
# BaCoPb2O4 PBE with a Hubbard U optimized geometry
data_BaCoPb2O4
_cell_length_a 3.620
_cell_length_b 6.414
_cell_length_c 12.661
_cell_angle_alpha 90.00
_cell_angle_beta 90.00
_cell_angle_gamma 106.39
_space_group_name_H-M_alt 'P 1'
_space_group_IT_number 1
_space_group_name_Hall 'P 1'
loop_
_atom_site_label
_atom_site_type_symbol
_atom_site_fract_x
_atom_site_fract_y
_atom_site_fract_z
Ba1 Ba 0.098 0.196 0.750
Ba2 Ba 0.902 0.804 0.250
Co1 Co 0.829 0.658 0.750
Co2 Co 0.171 0.342 0.250
Pb1 Pb 0.367 0.735 0.542
Pb2 Pb 0.633 0.265 0.042
Pb3 Pb 0.633 0.265 0.458
Pb4 Pb 0.367 0.735 0.958
O1 O 0.279 0.559 0.134
O2 O 0.721 0.441 0.634
O3 O 0.721 0.441 0.866
O4 O 0.279 0.559 0.366
O5 O 0.000 0.000 0.500
O6 O 0.000 0.000 0.000
O7 O 0.415 0.829 0.750
O8 O 0.585 0.171 0.250
# electronic total energy	-0.413	Ry per atom